## Tb4BiC2 (PBE)

Data for a relaxed Tb4BiC2 crystal.

Unit cell a=3.8400 b=6.5587 c=13.0204 alpha=90.00 beta=90.00 gamma=107.02
Last column: nearest neighbours and their distance in Å.
Sites, in units of the cell vectors:
Tb (0.7597, 0.5194, 0.1008)  3 C 2.44-2.52
Tb (0.7597, 0.5194, 0.3992)  3 C 2.44-2.52
Tb (0.2403, 0.4806, 0.8992)  3 C 2.44-2.52
Tb (0.2403, 0.4806, 0.6008)  3 C 2.44-2.52
Tb (0.9130, 0.8261, 0.7500)  2 C 2.58
Tb (0.0870, 0.1739, 0.2500)  2 C 2.58
Tb (0.5000, 0.0000, 0.0000)  4 C 2.69
Tb (0.5000, 0.0000, 0.5000)  4 C 2.69
Bi (0.6088, 0.2176, 0.7500)  6 Tb 3.12-3.19
Bi (0.3912, 0.7824, 0.2500)  6 Tb 3.12-3.19
C (0.1370, 0.2741, 0.4420)  6 Tb 2.44-2.69
C (0.8630, 0.7259, 0.9420)  6 Tb 2.44-2.69
C (0.1370, 0.2741, 0.0580)  6 Tb 2.44-2.69
C (0.8630, 0.7259, 0.5580)  6 Tb 2.44-2.69

- M_tot (μB/cell) = 1.0
- E (eV per cell) = -87.62
- calculated formation energy (eV per atom) = -0.42


## CaDyTh2Se4 (PBE)

Data for a relaxed CaDyTh2Se4 crystal.

Unit cell a=4.0143 b=6.9711 c=7.6433 alpha=107.61 beta=90.00 gamma=90.00
Last column: nearest neighbours and their distance in Å.
Sites, in units of the cell vectors:
Ca (0.0000, 0.0000, 0.0000)  6 Se 2.88
Dy (0.5000, 0.5000, 0.0000)  6 Se 2.87-2.88
Th (0.5000, 0.0000, 0.5000)  6 Se 3.03
Th (0.0000, 0.5000, 0.5000)  6 Se 3.02
Se (0.5000, 0.2462, 0.2340)  1 Dy 2.87, 2 Ca 2.88, 3 Th 3.02-3.03
Se (0.5000, 0.7538, 0.7660)  1 Dy 2.87, 2 Ca 2.88, 3 Th 3.02-3.03
Se (0.0000, 0.2562, 0.7661)  2 Dy 2.88, 1 Ca 2.88, 3 Th 3.02-3.03
Se (0.0000, 0.7438, 0.2339)  2 Dy 2.88, 1 Ca 2.88, 3 Th 3.02-3.03

- M_tot (μB/cell) = 0.0
- E (eV per cell) = -48.75


## YRu3C (PBE)

Data for a relaxed YRu3C crystal.

Unit cell a=14.4807 b=5.4013 c=5.4013 alpha=135.98 beta=140.68 gamma=39.32
Last column: nearest neighbours and their distance in Å.
Sites, in units of the cell vectors:
Y (0.7138, 0.2028, 0.7972)  9 Ru 2.88-3.15, 3 C 2.98-3.04
Y (0.2862, 0.7972, 0.2028)  9 Ru 2.88-3.15, 3 C 2.98-3.04
Ru (0.9182, 0.3292, 0.6708)  6 Ru 2.44-2.69
Ru (0.0818, 0.6708, 0.3292)  6 Ru 2.44-2.69
Ru (0.1379, 0.2674, 0.7326)  1 C 1.97
Ru (0.8621, 0.7326, 0.2674)  1 C 1.97
Ru (0.6112, 0.6021, 0.3979)  3 C 2.02-2.12
Ru (0.3888, 0.3979, 0.6021)  3 C 2.02-2.12
C (0.6152, 0.0348, 0.9652)  4 Ru 1.97-2.12
C (0.3848, 0.9652, 0.0348)  4 Ru 1.97-2.12

- M_tot (μB/cell) = 0.0
- E (eV per cell) = -85.79
- calculated formation energy (eV per atom) = 0.12


## Ac4PaN5 (PBE)

Data for a relaxed Ac4PaN5 crystal.

Unit cell a=5.4561 b=6.6099 c=6.6099 alpha=80.19 beta=65.62 gamma=65.62
Last column: nearest neighbours and their distance in Å.
Sites, in units of the cell vectors:
Ac (0.3998, 0.4032, 0.8043)  5 N 2.66-2.77
Ac (0.8030, 0.8043, 0.5968)  5 N 2.66-2.77
Ac (0.2042, 0.1957, 0.4032)  5 N 2.66-2.77
Ac (0.6073, 0.5968, 0.1957)  5 N 2.66-2.77
Pa (0.0221, 0.0000, 0.0000)  5 N 2.31-2.34
N (0.9184, 0.3481, 0.8296)  1 Pa 2.34
N (0.2666, 0.8296, 0.6519)  1 Pa 2.34
N (0.7480, 0.1704, 0.3481)  1 Pa 2.34
N (0.0962, 0.6519, 0.1704)  1 Pa 2.34
N (0.4447, 0.0000, 0.0000)  1 Pa 2.31

- M_tot (μB/cell) = 0.0
- E (eV per cell) = -79.84


## LiLuScTl (PBE)

Data for a relaxed LiLuScTl crystal.

Unit cell a=5.0789 b=5.0789 c=5.0789 alpha=60.00 beta=60.00 gamma=60.00
Last column: nearest neighbours and their distance in Å.
Sites, in units of the cell vectors:
Sc (0.2500, 0.2500, 0.2500)  4 Li 3.11, 4 Tl 3.11
Tl (0.0000, 0.0000, 0.0000)  4 Sc 3.11, 4 Lu 3.11
Lu (0.7500, 0.7500, 0.7500)  4 Tl 3.11, 4 Li 3.11
Li (0.5000, 0.5000, 0.5000)  4 Sc 3.11, 4 Lu 3.11

- M_tot (μB/cell) = 0.0
- E (eV per cell) = -15.76
- calculated formation energy (eV per atom) = -0.16


## PrMnNbGe2 (PBE)

Data for a relaxed PrMnNbGe2 crystal.

Unit cell a=4.0819 b=4.0819 c=6.5848 alpha=108.06 beta=108.06 gamma=90.00
Last column: nearest neighbours and their distance in Å.
Sites, in units of the cell vectors:
Pr (0.0000, 0.0000, 0.0000)  8 Ge 3.18
Mn (0.7500, 0.2500, 0.5000)  4 Ge 2.61, 4 Nb 2.89
Nb (0.2500, 0.7500, 0.5000)  4 Ge 2.61, 4 Mn 2.89
Ge (0.6120, 0.6120, 0.2240)  2 Nb 2.61, 2 Mn 2.61, 1 Ge 2.65
Ge (0.3880, 0.3880, 0.7760)  2 Nb 2.61, 2 Mn 2.61, 1 Ge 2.65

- M_tot (μB/cell) = 2.2
- E (eV per cell) = -35.62
- calculated formation energy (eV per atom) = -0.47